Compound: Pm8Ge3Se4O
Source: Alexandria
Functional: PBE
Structure: relaxed

Values from the calculation:
- density (g/cm3) = 6.9
- final energy (hartree per atom) = -0.221
- crystal system = monoclinic
- ΔE_f (raw) (kJ per mole of atoms) = -152.36

Geometry as CIF:
```
data_Pm8Ge3Se4O
_cell_length_a 14.377
_cell_length_b 8.299
_cell_length_c 8.390
_cell_angle_alpha 90.00
_cell_angle_beta 124.83
_cell_angle_gamma 90.00
_symmetry_space_group_name_H-M 'C 1 2/m 1'
_symmetry_Int_Tables_number 12
loop_
_symmetry_equiv_pos_as_xyz
'x,y,z'
'-x,-y,-z'
'-x,y,-z'
'x,-y,z'
'x+1/2,y+1/2,z'
'-x+1/2,-y+1/2,-z'
'-x+1/2,y+1/2,-z'
'x+1/2,-y+1/2,z'
loop_
_atom_site_label
_atom_site_type_symbol
_atom_site_fract_x
_atom_site_fract_y
_atom_site_fract_z
Pm1 Pm 0.004 0.241 0.271
Pm2 Pm 0.238 0.000 0.730
Pm3 Pm 0.248 0.500 0.744
Ge1 Ge 0.000 0.500 0.500
Ge2 Ge 0.250 0.250 0.500
Se1 Se 0.000 0.000 0.000
Se2 Se 0.000 0.500 0.000
Se3 Se 0.250 0.250 0.000
O1 O 0.000 0.000 0.500
```


Compound: PmGeSeO2
Source: Alexandria
Functional: PBE
Structure: relaxed

Values from the calculation:
- density (g/cm3) = 5.8
- final energy (hartree per atom) = -0.235
- crystal system = monoclinic
- ΔE_f (raw) (kJ per mole of atoms) = -178.65

Geometry as CIF:
```
data_PmGeSeO2
_cell_length_a 6.670
_cell_length_b 4.182
_cell_length_c 7.310
_cell_angle_alpha 90.00
_cell_angle_beta 113.68
_cell_angle_gamma 90.00
_symmetry_space_group_name_H-M 'P 1 21/m 1'
_symmetry_Int_Tables_number 11
loop_
_symmetry_equiv_pos_as_xyz
'x,y,z'
'-x,-y,-z'
'-x,y+1/2,-z'
'x,-y+1/2,z'
loop_
_atom_site_label
_atom_site_type_symbol
_atom_site_fract_x
_atom_site_fract_y
_atom_site_fract_z
Pm1 Pm 0.193 0.250 0.438
Ge1 Ge 0.150 0.250 0.940
Se1 Se 0.469 0.750 0.734
O1 O 0.013 0.750 0.352
O2 O 0.040 0.750 0.917
```


Compound: Pm4Sm2Ge3O2
Source: Alexandria
Functional: PBE
Structure: relaxed

Values from the calculation:
- density (g/cm3) = 7.0
- final energy (hartree per atom) = -0.230
- crystal system = tetragonal
- ΔE_f (raw) (kJ per mole of atoms) = -144.96

Geometry as CIF:
```
data_Pm4Sm2Ge3O2
_cell_length_a 4.679
_cell_length_b 4.679
_cell_length_c 24.406
_cell_angle_alpha 90.00
_cell_angle_beta 90.00
_cell_angle_gamma 90.00
_symmetry_space_group_name_H-M 'I 4/m m m'
_symmetry_Int_Tables_number 139
_symmetry_space_group_name_Hall '-I 4 2'
loop_
_atom_site_label
_atom_site_type_symbol
_atom_site_fract_x
_atom_site_fract_y
_atom_site_fract_z
Pm1 Pm 0.000 0.500 0.080
Sm1 Sm 0.000 0.000 0.199
Ge1 Ge 0.000 0.000 0.324
Ge2 Ge 0.000 0.000 0.500
O1 O 0.000 0.000 0.102
```


Compound: Pm2Sm4Ge3O2
Source: Alexandria
Functional: PBE
Structure: relaxed

Values from the calculation:
- density (g/cm3) = 7.1
- final energy (hartree per atom) = -0.230
- crystal system = tetragonal
- ΔE_f (raw) (kJ per mole of atoms) = -146.25

Geometry as CIF:
```
data_Pm2Sm4Ge3O2
_cell_length_a 4.660
_cell_length_b 4.660
_cell_length_c 24.413
_cell_angle_alpha 90.00
_cell_angle_beta 90.00
_cell_angle_gamma 90.00
_symmetry_space_group_name_H-M 'I 4/m m m'
_symmetry_Int_Tables_number 139
_symmetry_space_group_name_Hall '-I 4 2'
loop_
_atom_site_label
_atom_site_type_symbol
_atom_site_fract_x
_atom_site_fract_y
_atom_site_fract_z
Pm1 Pm 0.000 0.000 0.198
Sm1 Sm 0.000 0.500 0.080
Ge1 Ge 0.000 0.000 0.325
Ge2 Ge 0.000 0.000 0.500
O1 O 0.000 0.000 0.100
```


Compound: PmSnGe2O8
Source: Alexandria
Functional: PBE
Structure: relaxed

Values from the calculation:
- density (g/cm3) = 5.6
- final energy (hartree per atom) = -0.242
- crystal system = tetragonal
- ΔE_f (raw) (kJ per mole of atoms) = -171.29

Geometry as CIF:
```
data_PmSnGe2O8
_cell_length_a 7.067
_cell_length_b 7.067
_cell_length_c 6.416
_cell_angle_alpha 90.00
_cell_angle_beta 90.00
_cell_angle_gamma 90.00
_symmetry_space_group_name_H-M 'I -4 m 2'
_symmetry_Int_Tables_number 119
_symmetry_space_group_name_Hall 'I -4 -2'
loop_
_atom_site_label
_atom_site_type_symbol
_atom_site_fract_x
_atom_site_fract_y
_atom_site_fract_z
Pm1 Pm 0.000 0.000 0.000
Sn1 Sn 0.000 0.500 0.250
Ge1 Ge 0.000 0.000 0.500
Ge2 Ge 0.000 0.500 0.750
O1 O 0.000 0.192 0.319
O2 O 0.000 0.325 0.946
```


Compound: PmSn2GeO8
Source: Alexandria
Functional: PBE
Structure: relaxed

Values from the calculation:
- density (g/cm3) = 6.2
- final energy (hartree per atom) = -0.240
- crystal system = orthorhombic
- ΔE_f (raw) (kJ per mole of atoms) = -171.70

Geometry as CIF:
```
data_PmSn2GeO8
_cell_length_a 6.677
_cell_length_b 7.008
_cell_length_c 6.640
_cell_angle_alpha 90.00
_cell_angle_beta 90.00
_cell_angle_gamma 90.00
_symmetry_space_group_name_H-M 'C m m m'
_symmetry_Int_Tables_number 65
_symmetry_space_group_name_Hall '-C 2 2'
loop_
_atom_site_label
_atom_site_type_symbol
_atom_site_fract_x
_atom_site_fract_y
_atom_site_fract_z
Pm1 Pm 0.000 0.000 0.000
Sn1 Sn 0.000 0.500 0.261
Ge1 Ge 0.000 0.000 0.500
O1 O 0.000 0.292 0.500
O2 O 0.000 0.325 0.000
O3 O 0.192 0.000 0.291
```


Question: What is the final energy in the second record?
Answer: -0.235 hartree per atom


Question: Which of these has the highest ΔE_f (raw)?
Answer: Pm4Sm2Ge3O2